Record 1
Here is an optimized crystal structure of DyZn4Pt from Alexandria. Energies are from GGA-PBE.

Offset from the most stable computed form in eV/f.u.: 0.48
Total moment in μB/cell: 0.00

Cell: 7.1634 7.1634 6.9347 Å, 90.00 90.00 142.15°
Fractional positions:
1 Dy 0.1188 0.8812 0.7500
2 Dy 0.8812 0.1188 0.2500
3 Zn 0.0881 0.9119 0.2500
4 Zn 0.2724 0.7276 0.0809
5 Zn 0.2724 0.7276 0.4191
6 Zn 0.5000 0.5000 0.0000
7 Zn 0.5000 0.5000 0.5000
8 Zn 0.7276 0.2724 0.5809
9 Zn 0.7276 0.2724 0.9191
10 Zn 0.9119 0.0881 0.7500
11 Pt 0.3460 0.6540 0.7500
12 Pt 0.6540 0.3460 0.2500

Record 2
Here is an optimized crystal structure of Dy2Zn3Pt4 from Alexandria. Energies are from GGA-PBE.

Total energy in Ry per atom: -0.3703
Total moment in μB/cell: 0.00

Cell: 8.0913 8.0913 7.5890 Å, 90.00 90.00 139.50°
Fractional positions:
1 Dy 0.1107 0.8893 0.9134
2 Dy 0.3893 0.6107 0.4134
3 Dy 0.6107 0.3893 0.5866
4 Dy 0.8893 0.1107 0.0866
5 Zn 0.0000 0.0000 0.5000
6 Zn 0.0214 0.4786 0.7500
7 Zn 0.4786 0.0214 0.2500
8 Zn 0.5000 0.5000 0.0000
9 Zn 0.5214 0.9786 0.7500
10 Zn 0.9786 0.5214 0.2500
11 Pt 0.1767 0.8233 0.5272
12 Pt 0.1919 0.3081 0.7500
13 Pt 0.3081 0.1919 0.2500
14 Pt 0.3233 0.6767 0.0272
15 Pt 0.6767 0.3233 0.9728
16 Pt 0.6919 0.8081 0.7500
17 Pt 0.8081 0.6919 0.2500
18 Pt 0.8233 0.1767 0.4728

Record 3
Here is an optimized crystal structure of DyZnPt2 from Alexandria. Energies are from GGA-PBE.

Total energy in Ry per atom: -0.3912
Total moment in μB/cell: 0.00

Cell: 4.2539 4.2539 3.9408 Å, 90.00 90.00 90.00°
Fractional positions:
1 Dy 0.0000 0.0000 0.0000
2 Zn 0.5000 0.5000 0.0000
3 Pt 0.0000 0.5000 0.5000
4 Pt 0.5000 0.0000 0.5000

Record 4
Here is an optimized crystal structure of Dy2ZnPt4 from Alexandria. Energies are from GGA-PBE.

Total energy in Ry per atom: -0.4292
Total moment in μB/cell: 0.00

Cell: 4.9545 4.9611 7.1057 Å, 81.89 70.41 67.12°
Fractional positions:
1 Dy 0.1527 0.0042 0.2198
2 Dy 0.8473 0.9958 0.7802
3 Zn 0.5000 0.5000 0.5000
4 Pt 0.0000 0.5000 0.5000
5 Pt 0.1761 0.3317 0.8441
6 Pt 0.5000 0.0000 0.5000
7 Pt 0.8239 0.6683 0.1559